Record 1
NaF3, optimized geometry, DFT PBEsol; mass density = 2.175 g/cm3; total magnetic moment = 0.00 μB/cell; SG = R-3m (166); E = -3.205 eV per atom
1.0
-1.7515 0.0616 3.2316
-3.6732 -0.1094 0.1023
-1.6478 -5.2288 1.2976
Na F
1 3
Cartesian
-3.5362 -2.6383 2.3158
0.0000 0.0000 0.0000
-5.3725 -1.7424 3.3945
-1.7000 -3.5341 1.2371



Record 2
Na2NbF6, optimized geometry, DFT PBEsol; mass density = 3.208 g/cm3; total magnetic moment = 2.00 μB/cell; SG = P4_2/mnm (136); E = -5.689 eV per atom
1.0
-2.9890 2.8320 2.9083
-3.5542 -3.5706 -0.1759
4.0072 -4.4029 8.4059
Na Nb F
4 2 12
Cartesian
1.3381 -1.4703 2.8070
0.0701 -4.0410 8.3762
2.6690 -2.9326 5.5989
-2.6062 -1.1005 2.7621
0.0000 0.0000 0.0000
-1.2680 -2.5707 5.5692
-1.8876 -3.3585 7.3181
0.5365 -3.0849 6.3059
-3.0726 -2.0566 4.8324
-2.8571 -3.0356 1.6383
-2.5012 0.9950 3.5798
0.3210 -2.1059 9.5001
-1.8135 -0.2047 0.7573
-1.4247 -4.3452 4.7144
-1.1114 -0.7962 6.4239
-4.7298 -0.5339 1.9751
-0.6485 -1.7829 3.8202
-0.0348 -6.1365 7.5585



Record 3
NaNb6O15F, optimized geometry, DFT PBEsol; mass density = 4.608 g/cm3; total magnetic moment = 0.00 μB/cell; SG = Amm2 (38); E = -8.886 eV per atom
1.0
3.9204 0.0000 0.0000
0.0000 9.0566 0.0003
0.0000 -3.0737 8.5190
Na Nb O F
1 6 15 1
Cartesian
1.9602 1.8269 5.0775
0.0000 7.8613 3.1728
0.0000 2.5996 2.2464
0.0000 4.7522 5.3115
0.0000 -0.4315 6.6635
0.0000 9.0479 0.0064
0.0000 5.6667 0.0478
1.9602 5.7768 0.0814
0.0000 3.1458 4.1512
0.0000 7.3962 1.1663
0.0000 4.3059 1.4182
0.0000 6.1104 3.9877
0.0000 4.3315 7.3063
0.0000 0.5806 1.9650
1.9602 -0.3725 6.6221
1.9602 4.5102 5.4338
1.9602 2.4025 2.4325
1.9602 7.8671 3.0578
0.0000 -0.0537 4.7137
0.0000 6.5918 6.5687
0.0000 2.0415 0.0893
0.0000 1.5307 6.9699
1.9602 -3.0616 8.5105



Record 4
NaNbO2F2, optimized geometry, DFT PBEsol; mass density = 3.791 g/cm3; total magnetic moment = 0.00 μB/cell; SG = P2_1/c (14); E = -7.194 eV per atom
1.0
-1.5097 -5.1964 0.2910
1.1604 0.0854 7.5455
-7.7138 2.2132 -0.4982
Na Nb O F
4 4 8 8
Cartesian
-2.9569 -0.3453 0.8157
-5.1062 -2.5525 6.5226
-2.4637 -0.6020 4.6052
-5.5994 -2.2958 2.7331
-6.1263 0.5371 4.7940
-1.4092 -3.5731 6.3272
-1.9368 -3.4349 2.5443
-6.6539 0.6753 1.0111
-7.3169 -0.7511 5.6467
0.3925 -0.1815 5.3567
-5.4690 1.1135 6.7427
-6.3483 0.0412 3.0276
-0.7462 -2.1467 1.6916
-8.4556 -2.7163 1.9816
-2.5941 -4.0113 0.5955
-1.7148 -2.9390 4.3106
-3.3979 -2.0158 2.3262
-2.0901 -1.6896 6.6320
-4.6549 1.1078 1.1255
-5.9730 -1.2082 0.7062
-6.0636 -3.4741 4.6083
-1.9996 0.5763 2.7300
-4.6652 -0.8820 5.0121
-3.4082 -4.0056 6.2127



Record 5
Na3NbOF6, optimized geometry, DFT PBEsol; mass density = 3.522 g/cm3; total magnetic moment = 0.47 μB/cell; SG = P2_12_12_1 (19); E = -5.778 eV per atom
1.0
-3.6644 -3.0048 3.1150
4.3944 -2.8148 2.4542
0.7174 11.6717 12.1024
Na Nb O F
12 4 4 24
Cartesian
-0.2068 3.6422 11.1072
1.6285 -2.2017 7.6925
1.8600 0.7491 10.9852
-0.3585 -2.2286 5.0775
-2.5964 -2.1183 2.3140
4.0698 6.7280 13.7644
1.5492 3.5026 8.1135
1.3866 0.9839 5.0038
-2.0247 6.3672 11.3457
2.0818 9.5707 13.9305
-0.6098 3.5625 5.3941
1.9042 6.5547 11.3012
-0.2908 0.7556 8.0613
0.0851 6.5093 14.1907
3.5107 -2.1046 4.7494
-0.4103 6.5438 8.3419
0.1655 -4.0464 6.4686
1.7512 7.0742 13.8989
1.7290 3.5464 5.6019
-0.7511 5.1298 9.3739
-1.3488 -0.6510 3.8425
0.0021 5.7316 12.2753
0.3884 4.5034 14.3157
0.7225 -0.5315 9.2784
-0.5606 -1.0258 1.2599
1.7958 8.8918 11.5847
3.3069 4.9936 12.2869
1.2118 7.3163 9.2922
-0.0429 2.1094 3.5664
0.7975 2.2918 12.5778
0.3812 1.8542 9.6524
0.4880 6.0026 16.1535
-0.3715 -1.1304 7.2146
1.6502 1.1715 7.3383
-0.4220 8.0944 15.3824
1.3046 5.6939 7.5618
-0.7039 0.9744 6.0833
1.7039 -2.7490 3.9800
1.0266 0.1246 2.7109
-0.6018 2.7566 7.6479
2.0715 4.2787 10.3433
1.9984 -1.0901 5.6521
-0.9260 7.8322 13.0107
3.4960 2.7812 9.0486



Record 6
NaNbO2F, optimized geometry, DFT PBEsol; mass density = 4.182 g/cm3; total magnetic moment = 0.00 μB/cell; SG = P4/mmm (123); E = -7.286 eV per atom
1.0
-1.4087 3.3496 1.6479
-1.6597 1.0157 -3.4834
-3.4888 -1.9984 1.0796
Na Nb O F
1 1 2 1
Cartesian
-3.2786 1.1835 -0.3780
0.0000 0.0000 0.0000
-0.8298 0.5078 -1.7417
-0.7044 1.6748 0.8239
-1.7444 -0.9992 0.5398



Record 7
Na11TiNb2Si4P2O25F, optimized geometry, DFT PBEsol; mass density = 3.134 g/cm3; total magnetic moment = 0.13 μB/cell; SG = P1 (1); E = -7.112 eV per atom
1.0
5.5339 -0.0065 -0.0131
-0.0918 7.1879 0.0094
-1.3502 -0.6625 14.3885
Na Ti Nb Si P O F
11 1 2 4 2 25 1
Cartesian
1.9590 4.9791 7.1899
2.0516 1.5599 7.1163
2.8618 4.8696 13.2394
1.2408 1.6534 1.1347
4.3439 3.6585 1.4394
-0.2378 2.8622 12.9388
1.1972 3.4876 3.8301
2.8823 3.0303 10.5694
4.1970 7.0391 1.9235
-0.0957 -0.5200 12.4554
4.8490 -0.3301 7.1835
4.6526 3.2573 7.3008
1.1982 6.9392 4.0710
2.9021 -0.4262 10.3022
3.9390 4.8550 4.5254
0.1670 1.6634 9.8516
-0.0036 4.7046 10.0380
4.1115 1.8154 4.3589
1.5732 5.3859 0.9557
2.5333 1.1298 13.4283
3.1112 5.4040 0.8152
0.9941 1.1131 13.5646
4.0110 4.7328 6.1264
0.1089 1.8006 8.2482
-0.4423 4.9079 13.9563
4.5410 1.6096 0.4333
1.1471 6.6070 1.8676
2.9679 -0.0858 12.5180
2.5109 5.4523 4.0326
1.5828 1.0510 10.3579
4.1442 5.2436 10.7281
-0.0364 1.2767 3.6669
1.1024 4.0372 1.5690
3.0044 2.4828 12.8239
4.0128 3.3721 3.7836
0.1007 3.1433 10.6032
2.8552 6.6867 8.5195
1.2195 -0.1952 5.8559
1.2974 5.4542 10.7071
2.8108 1.0566 3.6956
-0.3782 5.7083 3.8871
4.4717 0.8122 10.4697
0.0265 4.7112 8.4223
4.0727 1.8192 5.9706
3.2561 3.1821 8.2941
0.8782 3.3372 6.0632



Record 8
Na11TiNb2Si4P2O24F2, optimized geometry, DFT PBEsol; mass density = 3.131 g/cm3; total magnetic moment = 1.04 μB/cell; SG = P-1 (2); E = -7.050 eV per atom
1.0
5.5651 -0.0151 0.0132
-0.1016 7.1941 0.0264
-1.3898 -0.6701 14.3371
Na Ti Nb Si P O F
11 1 2 4 2 24 2
Cartesian
1.1681 5.2303 1.1524
2.9057 1.2787 13.2243
1.2127 -0.1088 3.7752
2.8610 6.6177 10.6015
4.4013 0.0446 1.4353
-0.3275 6.4643 12.9414
-0.7457 3.2620 7.1817
4.2315 3.4283 1.9630
-0.1577 3.0807 12.4137
2.0140 1.4605 7.1639
2.0597 5.0485 7.2128
-0.6949 -0.3350 7.1686
1.2127 3.3441 4.0832
2.8610 3.1649 10.2935
0.0166 1.1191 10.0104
4.0572 5.3898 4.3663
3.9601 1.2458 4.5185
0.1136 5.2631 9.8582
1.6143 1.7886 0.9531
2.4594 4.7204 13.4237
-0.3875 2.1160 3.8834
4.4613 4.3930 10.4933
4.0720 1.0964 6.1304
0.0018 5.4126 8.2463
1.1921 2.9977 1.8821
2.8816 3.5113 12.4947
0.1183 -0.4459 10.5679
3.9555 6.9548 3.8089
1.1469 3.4057 5.8858
2.9269 3.1032 8.4909
2.5121 1.8123 4.0815
1.5616 4.6966 10.2952
2.7663 4.6281 3.7108
1.3075 1.8809 10.6660
3.1550 1.7955 0.8300
0.9188 4.7135 13.5468
1.1248 0.4346 1.5389
2.9489 6.0744 12.8378
-0.4277 1.3356 13.9015
4.5014 5.1734 0.4752
-0.1042 4.8869 3.6706
4.1779 1.6221 10.7061
0.0400 1.1083 8.3881
4.0338 5.4007 5.9886
0.9495 -0.2715 6.0850
3.1243 6.7805 8.2917



Record 9
Rb2NaNbF6, optimized geometry, DFT PBEsol; mass density = 4.093 g/cm3; total magnetic moment = 2.00 μB/cell; SG = Fm-3m (225); E = -5.333 eV per atom
1.0
-1.7125 -0.1535 -5.8804
4.2145 -0.6251 -4.4026
0.3723 -5.2335 -3.1634
Na Nb Rb F
1 1 2 6
Cartesian
1.4371 -3.0061 -6.7232
0.0000 0.0000 0.0000
0.7185 -1.5030 -3.3616
2.1556 -4.5091 -10.0848
2.8764 -1.7722 -5.5207
3.0693 -4.4843 -7.1600
-0.1951 -1.5278 -6.2865
1.9889 -1.8518 -8.5680
-0.0022 -4.2399 -7.9258
0.8853 -4.1604 -4.8785



no.,uncorrected formation energy (eV/atom)
1,-1.410
2,-2.890
3,-2.495
4,-2.765
5,-2.884
6,-2.356
7,-2.480
8,-2.490
9,-2.749